Pa2TlPN5: optimized geometry, PBE.

a = 6.7465 Å, b = 6.7465 Å, c = 5.4428 Å
α = 90.00°, β = 90.00°, γ = 90.00°
With the nearest neighbours (Å) after each atom.
Space group P4/mbm (No. 127)
Inequivalent atoms, fractional coordinates:
Pa1 0.1896 0.3104 0.0000  4 N 2.27-2.45
Tl1 0.0000 0.0000 0.5000  10 N 2.72-2.96
P1 0.0000 0.5000 0.5000  4 N 1.76
N1 0.0000 0.0000 0.0000  4 Pa 2.45, 2 Tl 2.72
N2 0.1254 0.6254 0.2629  1 P 1.76

- total DFT energy (no corrections) (eV per atom) = -8.233
- total magnetic moment (μB per formula unit) = 0.00

=====

BaSrTaTe2: optimized geometry, PBE.

a = 5.9869 Å, b = 5.9869 Å, c = 6.4551 Å
α = 90.00°, β = 90.00°, γ = 90.00°
With the nearest neighbours (Å) after each atom.
Space group P4/mmm (No. 123)
Inequivalent atoms, fractional coordinates:
Ba1 0.0000 0.0000 0.0000  2 Sr 3.23
Sr1 0.0000 0.0000 0.5000  4 Te 2.99, 2 Ba 3.23
Ta1 0.5000 0.5000 0.0000  4 Ba 4.23, 8 Te 4.40
Te1 0.0000 0.5000 0.5000  2 Sr 2.99

- total DFT energy (no corrections) (eV per atom) = -3.308
- total magnetic moment (μB per formula unit) = 3.28

=====

ZnCuGe: optimized geometry, PBE.

a = 4.9599 Å, b = 7.5260 Å, c = 3.2062 Å
α = 90.00°, β = 130.18°, γ = 90.00°
With the nearest neighbours (Å) after each atom.
Space group C2 (No. 5)
Inequivalent atoms, fractional coordinates:
Zn1 0.0000 0.0000 0.0000  5 Cu 2.51-2.78, 5 Ge 2.51-2.78
Cu1 0.0000 0.3332 0.0000  5 Zn 2.51-2.78, 5 Ge 2.51-2.78
Ge1 0.0000 0.6666 0.0000  5 Zn 2.51-2.78, 5 Cu 2.51-2.78

- energy relative to the elements (eV per atom) = 0.11
- total magnetic moment (μB per formula unit) = 0.00

=====

Q: What is the formula in the first record?
A: Pa2TlPN5

=====

Q: Among the records above, which one has the highest total magnetic moment?
A: BaSrTaTe2

=====

Q: The highest total magnetic moment belongs to which entry?
A: BaSrTaTe2

=====

Q: Look up the total magnetic moment of the first one.
A: 0.00 μB per formula unit